1.
The following is a DFT calculation (GGA-PBE) of an optimized crystal structure of BiPt.

Cell: 8.2620 8.2620 5.5117 Å, 90.00 90.00 120.00°
Space group P6_3/mcm (No. 193)
Unique sites:
Bi  0.0000  0.2930  0.2500 (multiplicity 6)
Pt  0.0000  0.3795  0.7500 (multiplicity 6)

Computed properties:
Fermi-level density of states (states/eV/atom): 0.49
E_form (eV/atom): -0.048
Calculated total energy (eV for the cell shown): -60.1


2.
The following is a DFT calculation (GGA-PBE) of an optimized crystal structure of CuOsW.

Cell: 5.907 5.907 5.907 Å, 90.00 90.00 90.00°
Space group F-43m (No. 216)
Unique sites:
Cu  0.000  0.000  0.000 (multiplicity 4)
Os  0.000  0.000  0.500 (multiplicity 4)
W  0.250  0.250  0.750 (multiplicity 4)

Computed properties:
Fermi-level density of states (states/eV/atom): 1.20
E above lowest polymorph (meV/atom): 611
E_form (eV/atom): 0.771
Calculated total energy (eV for the cell shown): -103.9


3.
The following is a DFT calculation (GGA-PBE) of an optimized crystal structure of CaTmTl2.

Cell: 3.7073 3.7073 29.9443 Å, 90.00 90.00 120.00°
Space group R3m (No. 160, hexagonal axes)
Unique sites:
Ca  0.0000  0.0000  0.0000 (multiplicity 3)
Tm  0.0000  0.0000  0.8322 (multiplicity 3)
Tl  0.0000  0.0000  0.4180 (multiplicity 3)
Tl  0.0000  0.0000  0.5811 (multiplicity 3)

Computed properties:
Fermi-level density of states (states/eV/atom): 0.89
E_form (eV/atom): -0.243
Calculated total energy (eV for the cell shown): -36.5


> The highest E_form belongs to which entry?

CuOsW


Repeat the first record exactly.
The following is a DFT calculation (GGA-PBE) of an optimized crystal structure of BiPt.

Cell: 8.2620 8.2620 5.5117 Å, 90.00 90.00 120.00°
Space group P6_3/mcm (No. 193)
Unique sites:
Bi  0.0000  0.2930  0.2500 (multiplicity 6)
Pt  0.0000  0.3795  0.7500 (multiplicity 6)

Computed properties:
Fermi-level density of states (states/eV/atom): 0.49
E_form (eV/atom): -0.048
Calculated total energy (eV for the cell shown): -60.1


What did the third record say?
The following is a DFT calculation (GGA-PBE) of an optimized crystal structure of CaTmTl2.

Cell: 3.7073 3.7073 29.9443 Å, 90.00 90.00 120.00°
Space group R3m (No. 160, hexagonal axes)
Unique sites:
Ca  0.0000  0.0000  0.0000 (multiplicity 3)
Tm  0.0000  0.0000  0.8322 (multiplicity 3)
Tl  0.0000  0.0000  0.4180 (multiplicity 3)
Tl  0.0000  0.0000  0.5811 (multiplicity 3)

Computed properties:
Fermi-level density of states (states/eV/atom): 0.89
E_form (eV/atom): -0.243
Calculated total energy (eV for the cell shown): -36.5